--- 1 ---
Here is a relaxed structure of YSiSn3 from Alexandria via LeMat-Bulk. Energies are from PBE.

Summary:
Size of the total moment   0.00 μB/cell

Lattice parameters (Å, degrees): 5.7198 5.7198 5.7198 90.00 90.00 90.00
Element x y z (fractional)
Y 0.0000 0.0000 0.0000
Si 0.5000 0.5000 0.5000
Sn 0.0000 0.0000 0.5000
Sn 0.0000 0.5000 0.0000
Sn 0.5000 0.0000 0.0000

--- 2 ---
Here is a relaxed structure of YSiSn3 from Alexandria via LeMat-Bulk. Energies are from PBE.

Summary:
Size of the total moment   0.00 μB/cell

Lattice parameters (Å, degrees): 5.2168 5.2168 5.2168 90.00 90.00 90.00
Element x y z (fractional)
Y 0.0000 0.0000 0.0000
Si 0.5000 0.5000 0.5000
Sn 0.0000 0.5000 0.5000
Sn 0.5000 0.0000 0.5000
Sn 0.5000 0.5000 0.0000

It turns out 2 is the most stable, with the second structure 63.2 kJ/mol of atoms higher.

--- 1 ---
Here is a relaxed structure of ZnSi2Sn2 from Alexandria via LeMat-Bulk. Energies are from PBE.

Summary:
Size of the total moment   0.00 μB/cell

Lattice parameters (Å, degrees): 8.9804 8.9804 8.9804 157.58 157.58 31.92
Element x y z (fractional)
Zn 0.0000 0.0000 0.0000
Si 0.2500 0.7500 0.5000
Si 0.7500 0.2500 0.5000
Sn 0.3977 0.3977 0.0000
Sn 0.6023 0.6023 0.0000

--- 2 ---
Here is a relaxed structure of ZnSi2Sn2 from Alexandria via LeMat-Bulk. Energies are from PBE.

Summary:
Size of the total moment   0.00 μB/cell

Lattice parameters (Å, degrees): 6.3105 6.3105 5.4831 90.00 90.00 90.00
Element x y z (fractional)
Zn 0.0000 0.0000 0.0000
Zn 0.5000 0.5000 0.0000
Si 0.1330 0.3670 0.0000
Si 0.3670 0.8670 0.0000
Si 0.6330 0.1330 0.0000
Si 0.8670 0.6330 0.0000
Sn 0.1988 0.3012 0.5000
Sn 0.3012 0.8012 0.5000
Sn 0.6988 0.1988 0.5000
Sn 0.8012 0.6988 0.5000

It turns out 2 is the most stable, with the second structure 2.4 kJ/mol of atoms higher.

--- 1 ---
Here is a relaxed structure of ZnSiSn3 from Alexandria via LeMat-Bulk. Energies are from PBE.

Summary:
Size of the total moment   0.00 μB/cell

Lattice parameters (Å, degrees): 5.1710 5.1710 5.1710 90.00 90.00 90.00
Element x y z (fractional)
Zn 0.0000 0.0000 0.0000
Si 0.5000 0.5000 0.5000
Sn 0.0000 0.0000 0.5000
Sn 0.0000 0.5000 0.0000
Sn 0.5000 0.0000 0.0000

--- 2 ---
Here is a relaxed structure of ZnSiSn3 from Alexandria via LeMat-Bulk. Energies are from PBE.

Summary:
Size of the total moment   0.00 μB/cell

Lattice parameters (Å, degrees): 5.2355 5.2355 5.2355 90.00 90.00 90.00
Element x y z (fractional)
Zn 0.0000 0.0000 0.0000
Si 0.5000 0.5000 0.5000
Sn 0.0000 0.5000 0.5000
Sn 0.5000 0.0000 0.5000
Sn 0.5000 0.5000 0.0000

It turns out 2 is the most stable, with the second structure 8.9 kJ/mol of atoms higher.